No. 1
AgTe2As2Br2: optimized geometry, PBE.

Properties
- ΔE_f (raw): -0.14 eV/atom

Cell lengths 3.9348, 6.5292, 8.6422 Å; angles 89.14, 76.98, 72.66 degrees
Space group P-1 (No. 2)
Symmetry-distinct sites (fractional):
Ag1 0.0000 0.0000 0.0000
Te1 0.0730 0.1998 0.6571
As1 0.3533 0.7370 0.5558
Br1 0.2967 0.2529 0.1516

No. 2
TlAgAsBr2: optimized geometry, PBE.

Properties
- ΔE_f (raw): 0.02 eV/atom
- Relative energy among the computed polymorphs: 0 meV per atom

Cell lengths 5.6103, 5.6103, 5.0692 Å; angles 90.00, 90.00, 90.00 degrees
Space group P4/mmm (No. 123)
Symmetry-distinct sites (fractional):
Tl1 0.0000 0.0000 0.0000
Ag1 0.5000 0.5000 0.5000
As1 0.5000 0.5000 0.0000
Br1 0.0000 0.5000 0.5000

No. 3
TlAgAs2Br: optimized geometry, PBE.

Properties
- ΔE_f (raw): 0.82 eV/atom
- Relative energy among the computed polymorphs: 417 meV per atom

Cell lengths 4.9920, 5.3316, 5.8721 Å; angles 90.00, 90.00, 90.00 degrees
Space group Pmmm (No. 47)
Symmetry-distinct sites (fractional):
Tl1 0.0000 0.0000 0.0000
Ag1 0.5000 0.0000 0.5000
As1 0.0000 0.5000 0.5000
As2 0.5000 0.5000 0.0000
Br1 0.0000 0.0000 0.5000